Record 1
DFT (GGA-PBE) results for a geometry-optimized Mg3H3Ir4 structure.

Geometry as extended XYZ:
```
10
Lattice="4.847 0.000 0.000 -2.412 4.843 0.000 -0.163 -1.810 5.389" Properties=species:S:1:pos:R:3 pbc="T T T"
Mg 0.000 0.000 0.000
Mg -2.298 3.626 2.542
Mg 3.224 0.825 3.411
H -0.109 2.054 0.690
H 2.252 -0.267 4.925
H 2.400 0.857 1.480
Ir 0.863 1.566 2.118
Ir 0.805 0.713 4.691
Ir -0.119 3.069 4.013
Ir 0.040 3.991 1.273
```

Summary:
* SG: P1 (1)
* total magnetization: 0.000 μB/atom
* energy: -52.32 eV per cell


Record 2
DFT (GGA-PBE) results for a geometry-optimized Mg2H3Ir2 structure.

Geometry as extended XYZ:
```
7
Lattice="4.591 0.000 0.000 0.000 3.375 0.000 -0.002 0.000 4.708" Properties=species:S:1:pos:R:3 pbc="T T T"
Mg 0.000 0.000 0.000
Mg 2.292 0.000 2.356
H 1.135 1.688 3.517
H 2.304 0.000 0.007
H 3.454 1.688 3.518
Ir 4.589 1.688 2.188
Ir 2.295 1.688 0.172
```

Summary:
* SG: Pm (6)
* total magnetization: 0.000 μB/atom
* energy: -32.70 eV per cell


Record 3
DFT (GGA-PBE) results for a geometry-optimized MgH6Ir2 structure.

Geometry as extended XYZ:
```
9
Lattice="2.849 -2.962 0.000 2.849 2.962 0.000 -2.677 0.000 4.605" Properties=species:S:1:pos:R:3 pbc="T T T"
Mg 0.000 0.000 0.000
H 1.664 1.411 1.214
H 0.245 0.000 3.206
H 1.665 1.499 3.378
H 1.664 -1.411 1.214
H 3.105 0.000 1.381
H 1.665 -1.499 3.378
Ir 0.244 1.481 2.295
Ir 0.244 -1.481 2.295
```

Summary:
* SG: Cm (8)
* total magnetization: 0.000 μB/atom
* energy: -40.30 eV per cell


Record 4
DFT (GGA-PBE) results for a geometry-optimized MgH5Ir structure.

Geometry as extended XYZ:
```
7
Lattice="3.049 0.000 0.000 0.001 4.579 0.000 1.513 2.238 4.284" Properties=species:S:1:pos:R:3 pbc="T T T"
Mg 0.000 0.000 0.000
H 1.509 4.522 2.956
H 1.523 1.216 0.812
H 1.524 3.378 0.796
H 3.032 3.335 2.638
H 3.032 5.695 2.615
Ir 3.034 4.525 3.784
```

Summary:
* SG: P1 (1)
* total magnetization: 0.000 μB/atom
* energy: -28.71 eV per cell


Record 5
DFT (GGA-PBE) results for a geometry-optimized MgH3Ir structure.

Geometry as extended XYZ:
```
5
Lattice="2.758 1.592 1.914 -2.758 1.592 1.914 0.000 -3.184 1.914" Properties=species:S:1:pos:R:3 pbc="T T T"
Mg 0.000 0.000 0.000
H 0.000 -1.227 1.747
H -1.062 0.613 1.747
H 1.062 0.613 1.747
Ir 0.000 0.000 2.770
```

Summary:
* SG: R3m (160)
* total magnetization: 0.000 μB/atom
* energy: -19.39 eV per cell


Record 6
DFT (GGA-PBE) results for a geometry-optimized Mg4H4Ir structure.

Geometry as extended XYZ:
```
9
Lattice="4.203 0.000 0.000 -2.099 4.653 0.000 -0.001 -0.120 5.964" Properties=species:S:1:pos:R:3 pbc="T T T"
Mg 0.000 0.000 0.000
Mg -0.002 0.024 3.079
Mg 0.001 2.999 1.776
Mg 2.099 1.948 4.343
H -0.002 1.134 1.518
H -0.008 2.340 5.386
H 2.101 0.206 5.845
H 2.101 3.323 1.484
Ir 0.000 3.788 4.522
```

Summary:
* SG: P1 (1)
* total magnetization: 0.000 μB/atom
* energy: -31.13 eV per cell


Record 7
DFT (GGA-PBE) results for a geometry-optimized Mg2H3Ir2 structure.

Geometry as extended XYZ:
```
7
Lattice="3.199 -3.567 0.000 3.199 3.567 0.000 0.000 0.000 3.106" Properties=species:S:1:pos:R:3 pbc="T T T"
Mg 3.199 1.857 0.000
Mg 3.199 -1.857 0.000
H 0.000 0.000 1.548
H 1.600 1.783 1.552
H 1.600 -1.783 1.552
Ir 1.762 0.000 1.553
Ir 4.636 0.000 1.553
```

Summary:
* SG: Cmm2 (35)
* total magnetization: 0.000 μB/atom
* energy: -33.02 eV per cell


Record 8
DFT (GGA-PBE) results for a geometry-optimized Mg3H6Ir structure.

Geometry as extended XYZ:
```
10
Lattice="4.013 0.000 0.000 0.020 5.635 0.000 0.021 2.651 4.982" Properties=species:S:1:pos:R:3 pbc="T T T"
Mg 0.000 0.000 0.000
Mg 0.021 2.907 1.499
Mg 4.029 5.593 3.113
H 0.028 4.582 4.812
H 0.017 1.889 3.196
H 2.025 5.065 3.182
H 2.012 0.716 1.147
H 2.026 3.092 1.987
H 2.049 6.950 4.886
Ir 2.027 4.720 1.525
```

Summary:
* SG: P1 (1)
* total magnetization: 0.000 μB/atom
* energy: -36.69 eV per cell